The following is a DFT calculation (PBE-GGA) of crystalline Nd2YThSc4 at its relaxed geometry.

Computed properties:
formation energy	0.050	eV/atom
electronic total energy	-6.044	eV/atom

Unit cell a=5.042 b=5.047 c=10.368 alpha=60.88 beta=90.00 gamma=90.00
Fractional positions:
Sc (0.000, 0.753, 0.746)
Sc (0.500, 0.254, 0.746)
Sc (0.500, 0.746, 0.254)
Sc (0.000, 0.247, 0.254)
Nd (0.000, 0.000, 0.000)
Nd (0.500, 0.000, 0.500)
Y (0.500, 0.500, 0.000)
Th (0.000, 0.500, 0.500)

The following is a DFT calculation (PBE-GGA) of crystalline Nd3Y6Th2Sc at its relaxed geometry.

Computed properties:
formation energy	0.025	eV/atom
electronic total energy	-6.164	eV/atom

Unit cell a=6.183 b=6.183 c=11.834 alpha=95.00 beta=95.00 gamma=119.98
Fractional positions:
Y (0.414, 0.081, 0.243)
Y (0.747, 0.747, 0.244)
Y (0.586, 0.919, 0.757)
Y (0.919, 0.586, 0.757)
Y (0.253, 0.253, 0.756)
Y (0.081, 0.414, 0.243)
Nd (0.500, 0.500, 0.500)
Nd (0.834, 0.166, 0.500)
Nd (0.166, 0.834, 0.500)
Sc (0.000, 0.000, 0.000)
Th (0.666, 0.334, 0.000)
Th (0.334, 0.666, 0.000)

The following is a DFT calculation (PBE-GGA) of crystalline NdY2ThSc4 at its relaxed geometry.

Computed properties:
formation energy	0.046	eV/atom
electronic total energy	-6.260	eV/atom

Unit cell a=5.020 b=5.030 c=10.346 alpha=60.94 beta=90.00 gamma=90.00
Fractional positions:
Sc (0.000, 0.246, 0.254)
Sc (0.500, 0.746, 0.254)
Sc (0.500, 0.254, 0.746)
Sc (0.000, 0.754, 0.746)
Y (0.500, 0.000, 0.500)
Y (0.000, 0.000, 0.000)
Th (0.000, 0.500, 0.500)
Nd (0.500, 0.500, 0.000)

The following is a DFT calculation (PBE-GGA) of crystalline Nd2ScTi at its relaxed geometry.

Computed properties:
formation energy	0.215	eV/atom
electronic total energy	-5.725	eV/atom

Unit cell a=3.672 b=3.672 c=8.157 alpha=90.00 beta=90.00 gamma=90.00
Fractional positions:
Nd (0.000, 0.000, 0.231)
Nd (0.000, 0.000, 0.769)
Ti (0.500, 0.500, 0.000)
Sc (0.500, 0.500, 0.500)

The following is a DFT calculation (PBE-GGA) of crystalline Nd3Sc2Tl4 at its relaxed geometry.

Computed properties:
formation energy	-0.228	eV/atom
electronic total energy	-4.276	eV/atom

Unit cell a=6.148 b=9.394 c=9.394 alpha=70.24 beta=85.00 gamma=85.00
Fractional positions:
Nd (0.565, 0.208, 0.011)
Nd (0.065, 0.011, 0.208)
Nd (0.750, 0.465, 0.535)
Nd (0.435, 0.792, 0.989)
Nd (0.935, 0.989, 0.792)
Nd (0.250, 0.535, 0.465)
Tl (0.443, 0.141, 0.709)
Tl (0.628, 0.450, 0.191)
Tl (0.557, 0.859, 0.291)
Tl (0.372, 0.550, 0.809)
Tl (0.943, 0.709, 0.141)
Tl (0.872, 0.809, 0.550)
Tl (0.128, 0.191, 0.450)
Tl (0.057, 0.291, 0.859)
Sc (0.139, 0.408, 0.145)
Sc (0.861, 0.592, 0.855)
Sc (0.361, 0.855, 0.592)
Sc (0.639, 0.145, 0.408)

The following is a DFT calculation (PBE-GGA) of crystalline NdSc2Tl at its relaxed geometry.

Computed properties:
formation energy	-0.132	eV/atom
electronic total energy	-5.082	eV/atom
E above lowest polymorph	52	meV per atom

Unit cell a=3.499 b=3.499 c=8.650 alpha=90.00 beta=90.00 gamma=90.00
Fractional positions:
Nd (0.500, 0.500, 0.500)
Tl (0.500, 0.500, 0.000)
Sc (0.000, 0.000, 0.778)
Sc (0.000, 0.000, 0.222)